# ZnMoCl

An optimized crystal structure of ZnMoCl (PBE, the Alexandria database).

Values from the calculation:
**Energy relative to the lowest polymorph listed for this composition**: 0.168 eV per atom
**Volume**: 56.2 Å³/cell
**Formation energy (no corrections)**: 20.6 kJ/mol of atoms
**Total magnetization**: 0.00 μB per formula unit
**Symmetry**: I4mm, No. 107

abc: 6.798 6.800 6.800
angles: 154.98 154.98 35.68
Fractional positions:
Cl: 0.039 0.039 0.000
Mo: 0.665 0.665 0.000
Zn: 0.296 0.296 0.000

***

# ZnMo2Cl

An optimized crystal structure of ZnMo2Cl (PBE, the Alexandria database).

Values from the calculation:
**Energy relative to the lowest polymorph listed for this composition**: 0.005 eV per atom
**Volume**: 67.8 Å³/cell
**Formation energy (no corrections)**: 18.3 kJ/mol of atoms
**Total magnetization**: 0.00 μB per formula unit
**Symmetry**: R3m, No. 160

abc: 9.299 9.299 9.299
angles: 18.10 18.10 18.10
Fractional positions:
Cl: 0.737 0.737 0.737
Mo: 0.003 0.003 0.003
Mo: 0.253 0.253 0.253
Zn: 0.507 0.507 0.507

***

# ZnMo2Cl

An optimized crystal structure of ZnMo2Cl (PBE, the Alexandria database).

Values from the calculation:
**Energy relative to the lowest polymorph listed for this composition**: 0.347 eV per atom
**Volume**: 63.0 Å³/cell
**Formation energy (no corrections)**: 51.3 kJ/mol of atoms
**Total magnetization**: 0.00 μB per formula unit
**Symmetry**: Cmmm, No. 65

abc: 2.781 2.781 8.705
angles: 90.00 90.00 110.64
Fractional positions:
Cl: 0.500 0.500 0.750
Mo: 0.000 0.000 0.998
Mo: 0.000 0.000 0.502
Zn: 0.500 0.500 0.250

***

# ZnMoCl

An optimized crystal structure of ZnMoCl (PBE, the Alexandria database).

Values from the calculation:
**Energy relative to the lowest polymorph listed for this composition**: 1.044 eV per atom
**Volume**: 52.9 Å³/cell
**Formation energy (no corrections)**: 105.1 kJ/mol of atoms
**Total magnetization**: 0.68 μB per formula unit
**Symmetry**: F-43m, No. 216

abc: 4.214 4.214 4.214
angles: 60.00 60.00 60.00
Fractional positions:
Cl: 0.750 0.750 0.750
Mo: 0.000 0.000 0.000
Zn: 0.500 0.500 0.500

***

# ZnMoCl

An optimized crystal structure of ZnMoCl (PBE, the Alexandria database).

Values from the calculation:
**Energy relative to the lowest polymorph listed for this composition**: 0.837 eV per atom
**Volume**: 68.7 Å³/cell
**Formation energy (no corrections)**: 85.1 kJ/mol of atoms
**Total magnetization**: 4.44 μB per formula unit
**Symmetry**: F-43m, No. 216

abc: 4.598 4.598 4.598
angles: 60.00 60.00 60.00
Fractional positions:
Cl: 0.500 0.500 0.500
Mo: 0.750 0.750 0.750
Zn: 0.000 0.000 0.000

***

# ZnMo2Cl

An optimized crystal structure of ZnMo2Cl (PBE, the Alexandria database).

Values from the calculation:
**Energy relative to the lowest polymorph listed for this composition**: 0.579 eV per atom
**Volume**: 64.3 Å³/cell
**Formation energy (no corrections)**: 73.6 kJ/mol of atoms
**Total magnetization**: 0.00 μB per formula unit
**Symmetry**: F-43m, No. 216

abc: 4.496 4.496 4.496
angles: 60.00 60.00 60.00
Fractional positions:
Cl: 0.500 0.500 0.500
Mo: 0.000 0.000 0.000
Mo: 0.250 0.250 0.250
Zn: 0.750 0.750 0.750

***

Look up the volume of the third one.
63.0 Å³/cell